Density functional theory data (PBE+U) for TlFeNiF6 after structural relaxation.

Computed properties:
Raw total energy ... -0.1661 hartree per atom
V ... 15.34 Å³/atom

a b c (Å): 7.1929 7.5393 10.1812
angles (deg): 90.00 90.00 90.00
With the nearest neighbours (Å) after each atom.
Space group Imma (No. 74)
Asymmetric unit:
1 Tl 0.0000 0.2500 0.1037  1 F 2.76
2 Fe 0.0000 0.0000 0.5000  6 F 1.89-2.03
3 Ni 0.2500 0.2500 0.7500  6 F 1.98-2.02
4 F 0.0000 0.2500 0.4267  2 Fe 2.03
5 F 0.0000 0.2500 0.8324  2 Ni 1.98
6 F 0.1912 0.0537 0.6210  1 Fe 1.89, 1 Ni 2.02